[1]
First-principles (GGA-PBE) data for Ba2Sr after structural relaxation, as listed in Alexandria.

Total magnetic moment = 0.00 μB per cell
Calculated formation energy = 0.015 eV/atom
DOS(E_F) = 8.3 states/eV/cell
Calculated volume = 183 Å³/f.u.

Structure (CIF):
```
data_Ba2Sr
_chemical_formula_sum 'Ba4 Sr2'
_cell_length_a 4.3861
_cell_length_b 6.3076
_cell_length_c 13.2066
_cell_angle_alpha 90.00
_cell_angle_beta 90.00
_cell_angle_gamma 90.00
_space_group_name_H-M_alt 'I m m m'
_space_group_IT_number 71
_space_group_name_Hall '-I 2 2'
loop_
_atom_site_label
_atom_site_fract_x
_atom_site_fract_y
_atom_site_fract_z
Ba1 0.0000 0.0000 0.1657
Sr1 0.0000 0.0000 0.5000
```

=====

[2]
First-principles (GGA-PBE) data for BaSr3 after structural relaxation, as listed in Alexandria.

Total magnetic moment = 0.00 μB per cell
Calculated formation energy = 0.002 eV/atom
DOS(E_F) = 4.3 states/eV/cell
Calculated volume = 223 Å³/f.u.

Structure (CIF):
```
data_BaSr3
_chemical_formula_sum 'Ba1 Sr3'
_cell_length_a 6.8028
_cell_length_b 6.8028
_cell_length_c 4.8134
_cell_angle_alpha 90.00
_cell_angle_beta 90.00
_cell_angle_gamma 90.00
_space_group_name_H-M_alt 'P 4/m m m'
_space_group_IT_number 123
_space_group_name_Hall '-P 4 2'
loop_
_atom_site_label
_atom_site_fract_x
_atom_site_fract_y
_atom_site_fract_z
Ba1 0.0000 0.0000 0.0000
Sr1 0.0000 0.5000 0.5000
Sr2 0.5000 0.5000 0.0000
```

=====

[3]
First-principles (GGA-PBE) data for BaSr3 after structural relaxation, as listed in Alexandria.

Total magnetic moment = 0.00 μB per cell
Calculated formation energy = 0.000 eV/atom
DOS(E_F) = 12.3 states/eV/cell
Calculated volume = 222 Å³/f.u.

Structure (CIF):
```
data_BaSr3
_chemical_formula_sum 'Ba3 Sr9'
_cell_length_a 13.6023
_cell_length_b 13.6023
_cell_length_c 4.1539
_cell_angle_alpha 90.00
_cell_angle_beta 90.00
_cell_angle_gamma 120.00
_space_group_name_H-M_alt 'R -3 m'
_space_group_IT_number 166
_space_group_name_Hall '-R 3 2"'
loop_
_atom_site_label
_atom_site_fract_x
_atom_site_fract_y
_atom_site_fract_z
Ba1 0.0000 0.0000 0.0000
Sr1 0.0000 0.5000 0.0000
```

=====

[4]
First-principles (GGA-PBE) data for Ba5Sr after structural relaxation, as listed in Alexandria.

Total magnetic moment = 0.00 μB per cell
Calculated formation energy = 0.001 eV/atom
DOS(E_F) = 16.2 states/eV/cell
Calculated volume = 369 Å³/f.u.

Structure (CIF):
```
data_Ba5Sr
_chemical_formula_sum 'Ba10 Sr2'
_cell_length_a 7.0251
_cell_length_b 21.0741
_cell_length_c 4.9905
_cell_angle_alpha 90.00
_cell_angle_beta 90.00
_cell_angle_gamma 90.00
_space_group_name_H-M_alt 'C m m m'
_space_group_IT_number 65
_space_group_name_Hall '-C 2 2'
loop_
_atom_site_label
_atom_site_fract_x
_atom_site_fract_y
_atom_site_fract_z
Ba1 0.0000 0.0000 0.0000
Ba2 0.0000 0.1662 0.5000
Ba3 0.0000 0.3342 0.0000
Sr1 0.0000 0.5000 0.5000
```

=====

[5]
First-principles (GGA-PBE) data for Ba5Sr3 after structural relaxation, as listed in Alexandria.

Total magnetic moment = 0.01 μB per cell
Calculated formation energy = 0.079 eV/atom
DOS(E_F) = 24.1 states/eV/cell
Calculated volume = 496 Å³/f.u.

Structure (CIF):
```
data_Ba5Sr3
_chemical_formula_sum 'Ba10 Sr6'
_cell_length_a 12.0252
_cell_length_b 12.0252
_cell_length_c 7.9181
_cell_angle_alpha 90.00
_cell_angle_beta 90.00
_cell_angle_gamma 120.00
_space_group_name_H-M_alt 'P 63/m c m'
_space_group_IT_number 193
_space_group_name_Hall '-P 6c 2'
loop_
_atom_site_label
_atom_site_fract_x
_atom_site_fract_y
_atom_site_fract_z
Ba1 0.0000 0.2370 0.2500
Ba2 0.3333 0.6667 0.0000
Sr1 0.0000 0.4112 0.7500
```

=====

[6]
First-principles (GGA-PBE) data for Ba5Sr4 after structural relaxation, as listed in Alexandria.

Total magnetic moment = 0.00 μB per cell
Calculated formation energy = 0.004 eV/atom
DOS(E_F) = 22.1 states/eV/cell
Calculated volume = 530 Å³/f.u.

Structure (CIF):
```
data_Ba5Sr4
_chemical_formula_sum 'Ba10 Sr8'
_cell_length_a 14.5706
_cell_length_b 14.5706
_cell_length_c 4.9898
_cell_angle_alpha 90.00
_cell_angle_beta 90.00
_cell_angle_gamma 90.00
_space_group_name_H-M_alt 'I 4/m m m'
_space_group_IT_number 139
_space_group_name_Hall '-I 4 2'
loop_
_atom_site_label
_atom_site_fract_x
_atom_site_fract_y
_atom_site_fract_z
Ba1 0.0000 0.0000 0.0000
Ba2 0.1664 0.1664 0.5000
Sr1 0.0000 0.3365 0.0000
```